A plane-wave DFT calculation with GGA-PBE was carried out for a geometry-optimized Hf3Zn4Au4 structure.

Its energy of formation is -357.7 meV per atom. As for the spin magnetization: 0.0 μB/f.u. As for the volume: 17.6 Å³ per atom.

The structure belongs to space group P-1 (No. 2); the cell edges are 3.021, 4.498 and 14.519 Å and the angles 81.12°, 84.04° and 89.99°. Symmetry generates all atoms from Hf at (0.000, 0.000, 0.000), Hf at (0.140, 0.639, 0.720), Zn at (0.265, 0.266, 0.469), Zn at (0.408, 0.908, 0.186), Au at (0.317, 0.817, 0.368) and Au at (0.451, 0.452, 0.097).

---

A plane-wave DFT calculation with GGA-PBE was carried out for a geometry-optimized HfZnAu structure.

Its energy of formation is -206.8 meV per atom. As for the spin magnetization: 0.0 μB/f.u. As for the volume: 20.7 Å³ per atom.

The structure belongs to space group F-43m (No. 216); the cell edges are 6.289, 6.289 and 6.289 Å and the angles 90.00°, 90.00° and 90.00°. Symmetry generates all atoms from Hf at (0.000, 0.000, 0.000), Zn at (0.000, 0.000, 0.500) and Au at (0.250, 0.250, 0.250).